Entry from Alexandria: a relaxed CeHfZr crystal (PBE-GGA).

total magnetization = 0.051 μB/atom
excess energy over the best structure of this formula in the dataset = 0.041 eV per formula unit
energy of formation = 0.079 eV/atom

a b c (Å): 7.7016 7.7016 7.7016
angles (deg): 156.38 156.38 33.65
With the nearest neighbours (Å) after each atom.
Sites, in units of the cell vectors:
1 Ce 0.0000 0.0000 0.0000  4 Ce 3.15, 4 Hf 3.38, 4 Zr 3.45
2 Hf 0.3277 0.3277 0.0000  4 Zr 3.13, 4 Hf 3.15, 4 Ce 3.38
3 Zr 0.6782 0.6782 0.0000  4 Hf 3.13, 4 Zr 3.15, 4 Ce 3.45


Entry from Alexandria: a relaxed Cu2OsO crystal (PBE-GGA).

total magnetization = 0.000 μB/atom
raw formation energy = 0.490 eV per atom

a b c (Å): 5.3542 5.3542 5.3542
angles (deg): 97.98 97.98 136.24
With the nearest neighbours (Å) after each atom.
Sites, in units of the cell vectors:
1 Cu 0.0502 0.6250 0.9252  2 O 2.20, 2 Cu 2.26
2 Cu 0.3750 0.3002 0.4252  2 O 2.20, 2 Cu 2.26
3 Cu 0.6998 0.1250 0.0748  2 O 2.20, 2 Cu 2.26
4 Cu 0.8750 0.9498 0.5748  2 O 2.20, 2 Cu 2.26
5 Os 0.2500 0.7500 0.5000  2 O 2.00
6 Os 0.5000 0.5000 0.0000  2 O 2.00
7 O 0.0000 0.0000 0.0000  2 Os 2.00, 4 Cu 2.20
8 O 0.7500 0.2500 0.5000  2 Os 2.00, 4 Cu 2.20


Entry from Alexandria: a relaxed Pu2Si4TcNi3 crystal (PBE-GGA).

total magnetization = 1.013 μB/atom
raw formation energy = -0.620 eV per atom

a b c (Å): 4.0277 4.0277 9.5789
angles (deg): 90.00 90.00 90.00
With the nearest neighbours (Å) after each atom.
Sites, in units of the cell vectors:
1 Pu 0.0000 0.5000 0.2439  8 Si 3.07-3.08, 6 Ni 3.08-3.17, 2 Tc 3.17
2 Pu 0.5000 0.0000 0.7561  8 Si 3.07-3.08, 6 Ni 3.08-3.17, 2 Tc 3.17
3 Si 0.0000 0.0000 0.0000  4 Ni 2.32
4 Si 0.0000 0.5000 0.6369  3 Ni 2.32-2.40, 2 Tc 2.40
5 Si 0.5000 0.0000 0.3631  3 Ni 2.32-2.40, 2 Tc 2.40
6 Si 0.5000 0.5000 0.0000  4 Ni 2.32
7 Tc 0.0000 0.0000 0.5000  4 Si 2.40
8 Ni 0.0000 0.5000 0.8791  5 Si 2.32
9 Ni 0.5000 0.0000 0.1209  5 Si 2.32
10 Ni 0.5000 0.5000 0.5000  4 Si 2.40


Entry from Alexandria: a relaxed Ac5Sn4Au crystal (PBE-GGA).

total magnetization = 0.000 μB/atom
energy of formation = -0.640 eV/atom

a b c (Å): 3.9101 3.9101 21.7654
angles (deg): 90.00 90.00 90.00
With the nearest neighbours (Å) after each atom.
Sites, in units of the cell vectors:
1 Ac 0.0000 0.0000 0.0000  8 Sn 3.57, 4 Ac 3.91
2 Ac 0.0000 0.0000 0.2058  8 Sn 3.55-3.57, 4 Ac 3.91
3 Ac 0.0000 0.0000 0.4095  4 Au 3.40, 4 Sn 3.52
4 Ac 0.0000 0.0000 0.5905  4 Au 3.40, 4 Sn 3.52
5 Ac 0.0000 0.0000 0.7942  8 Sn 3.55-3.57, 4 Ac 3.91
6 Sn 0.5000 0.5000 0.1037  8 Ac 3.55-3.57, 4 Sn 3.91
7 Sn 0.5000 0.5000 0.3097  8 Ac 3.52-3.57, 4 Sn 3.91
8 Sn 0.5000 0.5000 0.6903  8 Ac 3.52-3.57, 4 Sn 3.91
9 Sn 0.5000 0.5000 0.8963  8 Ac 3.55-3.57, 4 Sn 3.91
10 Au 0.5000 0.5000 0.5000  8 Ac 3.40


no.,Fermi-level density of states (states/eV per cell)
1,5.80
2,9.08
3,25.08
4,9.03